# CaW4O8

A geometry-optimized CaW4O8 structure (GGA+U, the Alexandria database).

The energy above the most stable polymorph in this dataset is 0 meV/atom.

Unit cell a=3.3169 b=7.6411 c=7.8412 alpha=81.19 beta=77.97 gamma=78.02
Space group P1 (No. 1)
Asymmetric unit:
Ca  0.0000  0.0000  0.0000 x1
W  0.2803  0.0632  0.3963 x1
W  0.4785  0.3832  0.6672 x1
W  0.7774  0.3978  0.0357 x1
W  0.9990  0.6962  0.3282 x1
O  0.1077  0.2253  0.5924 x1
O  0.1699  0.5485  0.1081 x1
O  0.4213  0.2252  0.9239 x1
O  0.4708  0.8754  0.2001 x1
O  0.5082  0.5530  0.4469 x1
O  0.7676  0.1863  0.2564 x1
O  0.8173  0.9150  0.5001 x1
O  0.8547  0.5125  0.7649 x1